--- one ---
DFT (PBE) results for a relaxed Y3Au2 crystal.

Cell lengths 9.2068, 8.2417, 6.0802 Å; angles 78.41, 61.28, 40.31 degrees
Atoms (fractional coordinates):
Y: 0.3544 0.4352 0.7285
Y: 0.4819 0.7285 0.4352
Y: 0.8148 0.8956 0.7681
Y: 0.5215 0.7681 0.8956
Y: 0.9092 0.0908 0.0908
Y: 0.1592 0.3408 0.3408
Au: 0.3555 0.5429 0.2027
Au: 0.8990 0.2027 0.5429
Au: 0.7071 0.8945 0.3510
Au: 0.0473 0.3510 0.8945

Summary:
D(E_F) in states/eV per atom: 1.181

***

--- two ---
DFT (PBE) results for a relaxed Y3Au2 crystal.

Cell lengths 8.1815, 8.1815, 3.8230 Å; angles 90.00, 90.00, 90.00 degrees
Atoms (fractional coordinates):
Y: 0.5000 0.5000 0.0000
Y: 0.0000 0.0000 0.0000
Y: 0.6621 0.1621 0.5000
Y: 0.3379 0.8379 0.5000
Y: 0.1621 0.3379 0.5000
Y: 0.8379 0.6621 0.5000
Au: 0.1334 0.6334 0.0000
Au: 0.8666 0.3666 0.0000
Au: 0.6334 0.8666 0.0000
Au: 0.3666 0.1334 0.0000

Summary:
D(E_F) in states/eV per atom: 1.494

***

--- three ---
DFT (PBE) results for a relaxed Y3Au2 crystal.

Cell lengths 5.0242, 5.0242, 6.2057 Å; angles 90.00, 90.00, 120.00 degrees
Atoms (fractional coordinates):
Y: 0.0000 0.0000 0.0000
Y: 0.6667 0.3333 0.6664
Y: 0.3333 0.6667 0.3336
Au: 0.6667 0.3333 0.1861
Au: 0.3333 0.6667 0.8139

Summary:
D(E_F) in states/eV per atom: 0.985

***

Which of them is most stable, and which least? Most stable: two; least stable: one.

***

--- one ---
DFT (PBE) results for a relaxed Y3Au4 crystal.

Cell lengths 6.4211, 6.4211, 5.0248 Å; angles 90.00, 90.00, 120.00 degrees
Atoms (fractional coordinates):
Y: 0.0000 0.5000 0.0000
Y: 0.5000 0.5000 0.0000
Y: 0.5000 0.0000 0.0000
Au: 0.0000 0.0000 0.2517
Au: 0.0000 0.0000 0.7483
Au: 0.6667 0.3333 0.5000
Au: 0.3333 0.6667 0.5000

Summary:
D(E_F) in states/eV per atom: 0.672

***

--- two ---
DFT (PBE) results for a relaxed Y3Au4 crystal.

Cell lengths 11.5402, 11.5402, 11.5402 Å; angles 161.02, 161.02, 26.96 degrees
Atoms (fractional coordinates):
Y: 0.0000 0.0000 0.0000
Y: 0.6977 0.6977 0.0000
Y: 0.3023 0.3023 0.0000
Au: 0.8604 0.8604 0.0000
Au: 0.5650 0.5650 0.0000
Au: 0.4350 0.4350 0.0000
Au: 0.1396 0.1396 0.0000

Summary:
D(E_F) in states/eV per atom: 0.640

***

Which of them is most stable, and which least? Most stable: two; least stable: one.

***

--- one ---
DFT (PBE) results for a relaxed Y4Au3 crystal.

Cell lengths 13.0177, 13.0177, 13.0177 Å; angles 163.48, 163.48, 23.45 degrees
Atoms (fractional coordinates):
Y: 0.8368 0.8368 0.0000
Y: 0.5673 0.5673 0.0000
Y: 0.4327 0.4327 0.0000
Y: 0.1632 0.1632 0.0000
Au: 0.0000 0.0000 0.0000
Au: 0.7158 0.7158 0.0000
Au: 0.2842 0.2842 0.0000

Summary:
D(E_F) in states/eV per atom: 0.884

***

--- two ---
DFT (PBE) results for a relaxed Y4Au3 crystal.

Cell lengths 5.7704, 5.7704, 5.9177 Å; angles 90.00, 90.00, 120.00 degrees
Atoms (fractional coordinates):
Y: 0.0000 0.0000 0.2440
Y: 0.0000 0.0000 0.7560
Y: 0.6667 0.3333 0.5000
Y: 0.3333 0.6667 0.5000
Au: 0.0000 0.5000 0.0000
Au: 0.5000 0.5000 0.0000
Au: 0.5000 0.0000 0.0000

Summary:
D(E_F) in states/eV per atom: 1.069

***

Which of them is most stable, and which least? Most stable: one; least stable: two.

***

--- one ---
DFT (PBE) results for a relaxed YZnAu3 crystal.

Cell lengths 4.8293, 4.8293, 4.8293 Å; angles 90.00, 90.00, 90.00 degrees
Atoms (fractional coordinates):
Y: 0.5000 0.5000 0.5000
Zn: 0.0000 0.0000 0.0000
Au: 0.0000 0.5000 0.0000
Au: 0.0000 0.0000 0.5000
Au: 0.5000 0.0000 0.0000

Summary:
D(E_F) in states/eV per atom: 0.570

***

--- two ---
DFT (PBE) results for a relaxed YZnAu3 crystal.

Cell lengths 4.3799, 8.7048, 10.6386 Å; angles 90.00, 90.00, 90.00 degrees
Atoms (fractional coordinates):
Y: 0.7500 0.8019 0.0005
Y: 0.2500 0.6981 0.5005
Y: 0.7500 0.3019 0.4995
Y: 0.2500 0.1981 0.9995
Zn: 0.2500 0.1142 0.6503
Zn: 0.2500 0.6142 0.8497
Zn: 0.7500 0.3858 0.1503
Zn: 0.7500 0.8858 0.3497
Au: 0.2500 0.5596 0.0913
Au: 0.7500 0.4404 0.9087
Au: 0.2500 0.0596 0.4087
Au: 0.7500 0.9404 0.5913
Au: 0.2500 0.4108 0.6694
Au: 0.7500 0.0892 0.1694
Au: 0.2500 0.9108 0.8306
Au: 0.7500 0.6464 0.6980
Au: 0.2500 0.3536 0.3020
Au: 0.7500 0.1464 0.8020
Au: 0.7500 0.5892 0.3306
Au: 0.2500 0.8536 0.1980

Summary:
D(E_F) in states/eV per atom: 0.398

***

--- three ---
DFT (PBE) results for a relaxed YZnAu3 crystal.

Cell lengths 5.5446, 5.5446, 5.5446 Å; angles 90.00, 90.00, 90.00 degrees
Atoms (fractional coordinates):
Y: 0.0000 0.0000 0.0000
Zn: 0.5000 0.5000 0.5000
Au: 0.0000 0.5000 0.0000
Au: 0.0000 0.0000 0.5000
Au: 0.5000 0.0000 0.0000

Summary:
D(E_F) in states/eV per atom: 0.061

***

Which of them is most stable, and which least? Most stable: two; least stable: three.

***

--- one ---
DFT (PBE) results for a relaxed YZn9Au2 crystal.

Cell lengths 3.1274, 8.7380, 8.7380 Å; angles 120.00, 90.00, 90.00 degrees
Atoms (fractional coordinates):
Y: 0.0000 0.0000 0.0000
Zn: 0.5000 0.8192 0.1808
Zn: 0.0000 0.0000 0.5000
Zn: 0.0000 0.5000 0.5000
Zn: 0.5000 0.8192 0.6384
Zn: 0.5000 0.1808 0.8192
Zn: 0.5000 0.6384 0.8192
Zn: 0.5000 0.1808 0.3616
Zn: 0.0000 0.5000 0.0000
Zn: 0.5000 0.3616 0.1808
Au: 0.0000 0.6667 0.3333
Au: 0.0000 0.3333 0.6667

Summary:
D(E_F) in states/eV per atom: 0.199

***

--- two ---
DFT (PBE) results for a relaxed YZn9Au2 crystal.

Cell lengths 6.9241, 8.3496, 8.3496 Å; angles 80.10, 65.50, 65.50 degrees
Atoms (fractional coordinates):
Y: 0.5000 0.0000 0.0000
Y: 0.2500 0.5000 0.5000
Zn: 0.7500 0.5000 0.5000
Zn: 0.0000 0.0000 0.0000
Zn: 0.0036 0.9130 0.6719
Zn: 0.5885 0.0870 0.3281
Zn: 0.6665 0.1719 0.5870
Zn: 0.4255 0.8281 0.4130
Zn: 0.7464 0.8281 0.5870
Zn: 0.1615 0.1719 0.4130
Zn: 0.0835 0.9130 0.3281
Zn: 0.3245 0.0870 0.6719
Zn: 0.7464 0.5870 0.8281
Zn: 0.1615 0.4130 0.1719
Zn: 0.0835 0.3281 0.9130
Zn: 0.3245 0.6719 0.0870
Zn: 0.0036 0.6719 0.9130
Zn: 0.5885 0.3281 0.0870
Zn: 0.6665 0.5870 0.1719
Zn: 0.4255 0.4130 0.8281
Au: 0.8750 0.2500 0.7500
Au: 0.8750 0.7500 0.2500
Au: 0.8750 0.2500 0.2500
Au: 0.3750 0.7500 0.7500

Summary:
D(E_F) in states/eV per atom: 0.210

***

Which of them is most stable, and which least? Most stable: two; least stable: one.

***

--- one ---
DFT (PBE) results for a relaxed Y2Zn3Au crystal.

Cell lengths 5.7068, 5.7068, 8.6079 Å; angles 104.54, 104.54, 104.05 degrees
Atoms (fractional coordinates):
Y: 0.2500 0.7500 0.5000
Y: 0.7453 0.7453 0.0000
Y: 0.7500 0.2500 0.5000
Y: 0.2547 0.2547 0.0000
Zn: 0.3270 0.8360 0.1630
Zn: 0.1640 0.6730 0.8370
Zn: 0.6730 0.1640 0.8370
Zn: 0.8360 0.3270 0.1630
Zn: 0.1633 0.1633 0.3266
Zn: 0.8367 0.8367 0.6734
Au: 0.6674 0.6674 0.3348
Au: 0.3326 0.3326 0.6652

Summary:
D(E_F) in states/eV per atom: 0.686

***

--- two ---
DFT (PBE) results for a relaxed Y2Zn3Au crystal.

Cell lengths 4.2255, 3.8297, 8.5078 Å; angles 103.01, 104.38, 90.00 degrees
Atoms (fractional coordinates):
Y: 0.1260 0.1260 0.2520
Y: 0.8749 0.3749 0.7497
Zn: 0.7094 0.7094 0.4188
Zn: 0.5541 0.5541 0.1082
Zn: 0.2866 0.7866 0.5732
Au: 0.4490 0.9490 0.8980

Summary:
D(E_F) in states/eV per atom: 0.757

***

Which of them is most stable, and which least? Most stable: one; least stable: two.

***

--- one ---
DFT (PBE) results for a relaxed YZn2Au2 crystal.

Cell lengths 3.8617, 3.8617, 6.6463 Å; angles 90.00, 90.00, 90.00 degrees
Atoms (fractional coordinates):
Y: 0.0000 0.0000 0.0000
Zn: 0.5000 0.0000 0.5000
Zn: 0.0000 0.5000 0.5000
Au: 0.5000 0.5000 0.7875
Au: 0.5000 0.5000 0.2125

Summary:
D(E_F) in states/eV per atom: 0.431

***

--- two ---
DFT (PBE) results for a relaxed YZn2Au2 crystal.

Cell lengths 4.2902, 7.4254, 12.1844 Å; angles 90.00, 90.00, 90.00 degrees
Atoms (fractional coordinates):
Y: 0.2500 0.1337 0.8121
Y: 0.7500 0.3663 0.3121
Y: 0.7500 0.8663 0.1879
Y: 0.2500 0.6337 0.6879
Zn: 0.7500 0.2978 0.6268
Zn: 0.2500 0.2022 0.1268
Zn: 0.2500 0.7022 0.3732
Zn: 0.7500 0.7978 0.8732
Zn: 0.2500 0.0362 0.5600
Zn: 0.7500 0.4638 0.0600
Zn: 0.7500 0.9638 0.4400
Zn: 0.2500 0.5362 0.9400
Au: 0.7500 0.9308 0.6708
Au: 0.2500 0.5692 0.1708
Au: 0.2500 0.0692 0.3292
Au: 0.7500 0.4308 0.8292
Au: 0.2500 0.3707 0.4986
Au: 0.7500 0.1293 0.9986
Au: 0.7500 0.6293 0.5014
Au: 0.2500 0.8707 0.0014

Summary:
D(E_F) in states/eV per atom: 0.530

***

--- three ---
DFT (PBE) results for a relaxed YZn2Au2 crystal.

Cell lengths 7.5839, 7.5839, 3.4174 Å; angles 90.00, 90.00, 90.00 degrees
Atoms (fractional coordinates):
Y: 0.0000 0.0000 0.0000
Y: 0.5000 0.5000 0.0000
Zn: 0.1635 0.6635 0.5000
Zn: 0.6635 0.8365 0.5000
Zn: 0.8365 0.3365 0.5000
Zn: 0.3365 0.1635 0.5000
Au: 0.3667 0.8667 0.0000
Au: 0.8667 0.6333 0.0000
Au: 0.6333 0.1333 0.0000
Au: 0.1333 0.3667 0.0000

Summary:
D(E_F) in states/eV per atom: 0.581

***

Which of them is most stable, and which least? Most stable: two; least stable: three.

***

--- one ---
DFT (PBE) results for a relaxed Y3Zn2Au crystal.

Cell lengths 3.6004, 3.6004, 10.6779 Å; angles 90.00, 90.00, 90.00 degrees
Atoms (fractional coordinates):
Y: 0.0000 0.0000 0.0000
Y: 0.0000 0.0000 0.6685
Y: 0.0000 0.0000 0.3315
Zn: 0.5000 0.5000 0.8389
Zn: 0.5000 0.5000 0.1611
Au: 0.5000 0.5000 0.5000

Summary:
D(E_F) in states/eV per atom: 0.829

***

--- two ---
DFT (PBE) results for a relaxed Y3Zn2Au crystal.

Cell lengths 5.0813, 5.0813, 6.2157 Å; angles 90.00, 90.00, 120.00 degrees
Atoms (fractional coordinates):
Y: 0.0000 0.0000 0.5000
Y: 0.6667 0.3333 0.8364
Y: 0.3333 0.6667 0.1636
Zn: 0.6667 0.3333 0.3484
Zn: 0.3333 0.6667 0.6516
Au: 0.0000 0.0000 0.0000

Summary:
D(E_F) in states/eV per atom: 0.749

***

Which of them is most stable, and which least? Most stable: one; least stable: two.